(1)
# Pa2MoN6

A relaxed Pa2MoN6 crystal (GGA-PBE, Alexandria).

a = 5.558 Å, b = 5.558 Å, c = 3.920 Å
α = 90.00°, β = 90.00°, γ = 120.00°
Positions (direct):
Pa  0.333  0.667  0.259
Pa  0.667  0.333  0.741
Mo  0.000  0.000  0.000
N  0.082  0.355  0.748
N  0.273  0.918  0.748
N  0.355  0.273  0.252
N  0.645  0.727  0.748
N  0.727  0.082  0.252
N  0.918  0.645  0.252

## Properties
Formation energy (no corrections) = -0.638 eV per atom
M_tot = 0.0 μB per formula unit

(2)
# Fe4Tc

A relaxed Fe4Tc crystal (GGA-PBE, Alexandria).

a = 4.365 Å, b = 4.365 Å, c = 4.365 Å
α = 90.00°, β = 90.00°, γ = 90.00°
Positions (direct):
Fe  0.000  0.000  0.000
Fe  0.000  0.500  0.500
Fe  0.500  0.000  0.500
Fe  0.500  0.500  0.000
Tc  0.500  0.500  0.500

## Properties
Energy relative to the lowest polymorph listed for this composition = 1461 meV/atom
ΔH_f (0 K) = 1.592 eV/atom
M_tot = 7.3 μB per formula unit

(3)
# BaTi2Cl

A relaxed BaTi2Cl crystal (GGA-PBE, Alexandria).

a = 7.107 Å, b = 7.107 Å, c = 7.107 Å
α = 90.00°, β = 90.00°, γ = 90.00°
Positions (direct):
Ba  0.000  0.000  0.000
Ba  0.000  0.500  0.500
Ba  0.500  0.000  0.500
Ba  0.500  0.500  0.000
Ti  0.250  0.250  0.250
Ti  0.250  0.250  0.750
Ti  0.250  0.750  0.250
Ti  0.250  0.750  0.750
Ti  0.750  0.250  0.250
Ti  0.750  0.250  0.750
Ti  0.750  0.750  0.250
Ti  0.750  0.750  0.750
Cl  0.000  0.000  0.500
Cl  0.000  0.500  0.000
Cl  0.500  0.000  0.000
Cl  0.500  0.500  0.500

## Properties
Energy relative to the lowest polymorph listed for this composition = 440 meV/atom
Formation energy (no corrections) = 0.872 eV per atom
M_tot = 3.0 μB per formula unit

(4)
# Si3Sb5

A relaxed Si3Sb5 crystal (GGA-PBE, Alexandria).

a = 7.364 Å, b = 10.412 Å, c = 4.925 Å
α = 90.00°, β = 90.00°, γ = 90.00°
Positions (direct):
Si  0.000  0.000  0.000
Si  0.000  0.210  0.500
Si  0.000  0.790  0.500
Si  0.500  0.290  0.500
Si  0.500  0.500  0.000
Si  0.500  0.710  0.500
Sb  0.000  0.500  0.000
Sb  0.232  0.000  0.500
Sb  0.250  0.250  0.000
Sb  0.250  0.750  0.000
Sb  0.268  0.500  0.500
Sb  0.500  0.000  0.000
Sb  0.732  0.500  0.500
Sb  0.750  0.250  0.000
Sb  0.750  0.750  0.000
Sb  0.768  0.000  0.500

## Properties
Energy relative to the lowest polymorph listed for this composition = 0 meV/atom
Formation energy (no corrections) = 0.467 eV per atom
M_tot = 0.0 μB per formula unit

(5)
# CaEuNiAg

A relaxed CaEuNiAg crystal (GGA-PBE, Alexandria).

a = 7.257 Å, b = 7.257 Å, c = 7.257 Å
α = 90.00°, β = 90.00°, γ = 90.00°
Positions (direct):
Ca  0.000  0.000  0.000
Ca  0.000  0.500  0.500
Ca  0.500  0.000  0.500
Ca  0.500  0.500  0.000
Eu  0.000  0.000  0.500
Eu  0.000  0.500  0.000
Eu  0.500  0.000  0.000
Eu  0.500  0.500  0.500
Ni  0.250  0.250  0.750
Ni  0.250  0.750  0.250
Ni  0.750  0.250  0.250
Ni  0.750  0.750  0.750
Ag  0.250  0.250  0.250
Ag  0.250  0.750  0.750
Ag  0.750  0.250  0.750
Ag  0.750  0.750  0.250

## Properties
ΔH_f (0 K) = -0.118 eV/atom
M_tot = 7.3 μB per formula unit

(6)
# BeCoP2

A relaxed BeCoP2 crystal (GGA-PBE, Alexandria).

a = 5.650 Å, b = 5.650 Å, c = 5.650 Å
α = 90.00°, β = 90.00°, γ = 90.00°
Positions (direct):
Be  0.000  0.000  0.000
Be  0.000  0.500  0.500
Be  0.500  0.000  0.500
Be  0.500  0.500  0.000
Co  0.250  0.250  0.750
Co  0.250  0.750  0.250
Co  0.750  0.250  0.250
Co  0.750  0.750  0.750
P  0.000  0.000  0.500
P  0.000  0.500  0.000
P  0.250  0.250  0.250
P  0.250  0.750  0.750
P  0.500  0.000  0.000
P  0.500  0.500  0.500
P  0.750  0.250  0.750
P  0.750  0.750  0.250

## Properties
ΔH_f (0 K) = 0.405 eV/atom
M_tot = 0.0 μB per formula unit

(7)
# PmGa2O4

A relaxed PmGa2O4 crystal (GGA-PBE, Alexandria).

a = 5.813 Å, b = 5.867 Å, c = 6.877 Å
α = 69.47°, β = 69.96°, γ = 77.68°
Positions (direct):
Pm  0.000  0.000  0.000
Pm  0.448  0.405  0.800
Ga  0.073  0.356  0.395
Ga  0.381  0.887  0.278
Ga  0.553  0.050  0.491
Ga  0.803  0.655  0.873
O  0.120  0.701  0.825
O  0.157  0.681  0.275
O  0.188  0.196  0.168
O  0.236  0.222  0.631
O  0.629  0.895  0.009
O  0.663  0.743  0.650
O  0.722  0.341  0.996
O  0.744  0.275  0.508

## Properties
Energy relative to the lowest polymorph listed for this composition = 0 meV/atom
Formation energy (no corrections) = -2.199 eV per atom
M_tot = 0.0 μB per formula unit

(8)
# ReAsSe2Br

A relaxed ReAsSe2Br crystal (GGA-PBE, Alexandria).

a = 5.057 Å, b = 5.057 Å, c = 5.144 Å
α = 90.00°, β = 90.00°, γ = 90.00°
Positions (direct):
Re  0.000  0.000  0.000
As  0.500  0.500  0.000
Se  0.000  0.500  0.500
Se  0.500  0.000  0.500
Br  0.500  0.500  0.500

## Properties
Energy relative to the lowest polymorph listed for this composition = 1525 meV/atom
Formation energy (no corrections) = 1.935 eV per atom
M_tot = 3.5 μB per formula unit

(9)
# Tc2TeIr

A relaxed Tc2TeIr crystal (GGA-PBE, Alexandria).

a = 2.972 Å, b = 3.798 Å, c = 5.849 Å
α = 90.00°, β = 90.00°, γ = 90.00°
Positions (direct):
Tc  0.000  0.000  0.000
Tc  0.500  0.500  0.222
Te  0.000  0.000  0.490
Ir  0.500  0.500  0.772

## Properties
Formation energy (no corrections) = 0.381 eV per atom
M_tot = 0.0 μB per formula unit

(10)
# CsSmIn2I6

A relaxed CsSmIn2I6 crystal (GGA-PBE, Alexandria).

a = 9.299 Å, b = 9.299 Å, c = 9.299 Å
α = 56.03°, β = 56.03°, γ = 56.03°
Positions (direct):
Cs  0.000  0.000  0.000
Sm  0.484  0.484  0.484
In  0.294  0.294  0.294
In  0.808  0.808  0.808
I  0.100  0.651  0.448
I  0.254  0.562  0.849
I  0.448  0.100  0.651
I  0.562  0.849  0.254
I  0.651  0.448  0.100
I  0.849  0.254  0.562

## Properties
Formation energy (no corrections) = -1.059 eV per atom
M_tot = 0.0 μB per formula unit

(11)
# Pm2Sn3Pt5

A relaxed Pm2Sn3Pt5 crystal (GGA-PBE, Alexandria).

a = 13.005 Å, b = 13.005 Å, c = 8.147 Å
α = 90.00°, β = 90.00°, γ = 161.53°
Positions (direct):
Pm  0.003  0.997  0.500
Pm  0.312  0.688  0.570
Pm  0.688  0.312  0.070
Pm  0.997  0.003  0.000
Sn  0.103  0.897  0.242
Sn  0.296  0.704  0.127
Sn  0.422  0.578  0.243
Sn  0.578  0.422  0.743
Sn  0.704  0.296  0.627
Sn  0.897  0.103  0.742
Pt  0.114  0.886  0.916
Pt  0.201  0.799  0.379
Pt  0.228  0.772  0.832
Pt  0.380  0.620  0.940
Pt  0.473  0.527  0.749
Pt  0.527  0.473  0.249
Pt  0.620  0.380  0.440
Pt  0.772  0.228  0.332
Pt  0.799  0.201  0.879
Pt  0.886  0.114  0.416

## Properties
ΔH_f (0 K) = -0.792 eV/atom
M_tot = 0.0 μB per formula unit

(12)
# Cs2AgSe2

A relaxed Cs2AgSe2 crystal (GGA-PBE, Alexandria).

a = 4.125 Å, b = 4.125 Å, c = 21.940 Å
α = 90.00°, β = 90.00°, γ = 90.00°
Positions (direct):
Cs  0.000  0.000  0.114
Cs  0.000  0.000  0.886
Cs  0.500  0.500  0.386
Cs  0.500  0.500  0.614
Ag  0.000  0.000  0.500
Ag  0.500  0.500  0.000
Se  0.000  0.500  0.250
Se  0.000  0.500  0.750
Se  0.500  0.000  0.250
Se  0.500  0.000  0.750

## Properties
Energy relative to the lowest polymorph listed for this composition = 221 meV/atom
Formation energy (no corrections) = -0.292 eV per atom
M_tot = 0.0 μB per formula unit

(13)
# K2RbF

A relaxed K2RbF crystal (GGA-PBE, Alexandria).

a = 8.462 Å, b = 8.462 Å, c = 11.963 Å
α = 90.00°, β = 90.00°, γ = 90.00°
Positions (direct):
K  0.001  0.750  0.125
K  0.250  0.001  0.875
K  0.250  0.499  0.375
K  0.499  0.750  0.625
K  0.501  0.250  0.625
K  0.750  0.501  0.375
K  0.750  0.999  0.875
K  0.999  0.250  0.125
Rb  0.000  0.000  0.500
Rb  0.000  0.500  0.750
Rb  0.500  0.000  0.250
Rb  0.500  0.500  0.000
F  0.000  0.000  0.000
F  0.000  0.500  0.250
F  0.500  0.000  0.750
F  0.500  0.500  0.500

## Properties
Energy relative to the lowest polymorph listed for this composition = 0 meV/atom
Formation energy (no corrections) = -1.291 eV per atom
M_tot = 0.0 μB per formula unit

(14)
# SiPO

A relaxed SiPO crystal (GGA-PBE, Alexandria).

a = 10.358 Å, b = 2.983 Å, c = 7.118 Å
α = 90.00°, β = 90.00°, γ = 90.00°
Positions (direct):
Si  0.022  0.250  0.161
Si  0.478  0.750  0.661
Si  0.522  0.250  0.339
Si  0.978  0.750  0.839
P  0.044  0.250  0.602
P  0.456  0.750  0.102
P  0.544  0.250  0.898
P  0.956  0.750  0.398
O  0.092  0.750  0.026
O  0.408  0.250  0.526
O  0.592  0.750  0.474
O  0.908  0.250  0.974

## Properties
Formation energy (no corrections) = -0.733 eV per atom
M_tot = 0.0 μB per formula unit

(15)
# Tl2Cr

A relaxed Tl2Cr crystal (GGA-PBE, Alexandria).

a = 5.129 Å, b = 5.129 Å, c = 6.581 Å
α = 90.00°, β = 90.00°, γ = 120.00°
Positions (direct):
Tl  0.000  0.000  0.000
Tl  0.000  0.000  0.500
Tl  0.333  0.667  0.250
Tl  0.667  0.333  0.750
Cr  0.333  0.667  0.750
Cr  0.667  0.333  0.250

## Properties
Energy relative to the lowest polymorph listed for this composition = 141 meV/atom
ΔH_f (0 K) = 0.565 eV/atom
M_tot = 4.5 μB per formula unit

(16)
# Ga3CoPt12

A relaxed Ga3CoPt12 crystal (GGA-PBE, Alexandria).

a = 3.937 Å, b = 3.937 Å, c = 15.696 Å
α = 90.00°, β = 90.00°, γ = 90.00°
Positions (direct):
Ga  0.000  0.000  0.000
Ga  0.000  0.000  0.251
Ga  0.000  0.000  0.749
Co  0.000  0.000  0.500
Pt  0.000  0.500  0.126
Pt  0.000  0.500  0.378
Pt  0.000  0.500  0.622
Pt  0.000  0.500  0.874
Pt  0.500  0.000  0.126
Pt  0.500  0.000  0.378
Pt  0.500  0.000  0.622
Pt  0.500  0.000  0.874
Pt  0.500  0.500  0.000
Pt  0.500  0.500  0.252
Pt  0.500  0.500  0.500
Pt  0.500  0.500  0.748

## Properties
ΔH_f (0 K) = -0.345 eV/atom
M_tot = 3.7 μB per formula unit

(17)
# RbAg2Pb2

A relaxed RbAg2Pb2 crystal (GGA-PBE, Alexandria).

a = 9.219 Å, b = 9.219 Å, c = 3.337 Å
α = 90.00°, β = 90.00°, γ = 90.00°
Positions (direct):
Rb  0.000  0.000  0.000
Rb  0.500  0.500  0.000
Ag  0.139  0.361  0.000
Ag  0.361  0.861  0.000
Ag  0.639  0.139  0.000
Ag  0.861  0.639  0.000
Pb  0.148  0.648  0.500
Pb  0.352  0.148  0.500
Pb  0.648  0.852  0.500
Pb  0.852  0.352  0.500

## Properties
Energy relative to the lowest polymorph listed for this composition = 36 meV/atom
ΔH_f (0 K) = 0.039 eV/atom
M_tot = 0.0 μB per formula unit

(18)
# EuAgPt

A relaxed EuAgPt crystal (GGA-PBE, Alexandria).

a = 6.750 Å, b = 6.750 Å, c = 6.750 Å
α = 90.00°, β = 90.00°, γ = 90.00°
Positions (direct):
Eu  0.000  0.000  0.000
Eu  0.000  0.500  0.500
Eu  0.500  0.000  0.500
Eu  0.500  0.500  0.000
Ag  0.000  0.000  0.500
Ag  0.000  0.500  0.000
Ag  0.500  0.000  0.000
Ag  0.500  0.500  0.500
Pt  0.250  0.250  0.250
Pt  0.250  0.750  0.750
Pt  0.750  0.250  0.750
Pt  0.750  0.750  0.250

## Properties
Energy relative to the lowest polymorph listed for this composition = 86 meV/atom
ΔH_f (0 K) = -0.417 eV/atom
M_tot = 6.9 μB per formula unit

(19)
# AcSm3Dy6

A relaxed AcSm3Dy6 crystal (GGA-PBE, Alexandria).

a = 7.000 Å, b = 7.000 Å, c = 7.000 Å
α = 90.65°, β = 90.65°, γ = 90.65°
Positions (direct):
Ac  0.000  0.000  0.000
Sm  0.262  0.262  0.262
Sm  0.500  0.500  0.500
Sm  0.738  0.738  0.738
Dy  0.000  0.341  0.659
Dy  0.170  0.830  0.500
Dy  0.341  0.659  0.000
Dy  0.500  0.170  0.830
Dy  0.659  0.000  0.341
Dy  0.830  0.500  0.170

## Properties
ΔH_f (0 K) = 0.323 eV/atom
M_tot = 0.0 μB per formula unit

(20)
# LiIn2H

A relaxed LiIn2H crystal (GGA-PBE, Alexandria).

a = 6.616 Å, b = 6.616 Å, c = 6.616 Å
α = 90.00°, β = 90.00°, γ = 90.00°
Positions (direct):
Li  0.000  0.000  0.000
Li  0.000  0.500  0.500
Li  0.500  0.000  0.500
Li  0.500  0.500  0.000
In  0.250  0.250  0.250
In  0.250  0.250  0.750
In  0.250  0.750  0.250
In  0.250  0.750  0.750
In  0.750  0.250  0.250
In  0.750  0.250  0.750
In  0.750  0.750  0.250
In  0.750  0.750  0.750
H  0.000  0.000  0.500
H  0.000  0.500  0.000
H  0.500  0.000  0.000
H  0.500  0.500  0.500

## Properties
Energy relative to the lowest polymorph listed for this composition = 178 meV/atom
M_tot = 0.0 μB per formula unit

(21)
# Zn7Pd6Pt16

A relaxed Zn7Pd6Pt16 crystal (GGA-PBE, Alexandria).

a = 8.669 Å, b = 8.669 Å, c = 8.669 Å
α = 60.00°, β = 60.00°, γ = 60.00°
Positions (direct):
Zn  0.000  0.000  0.000
Zn  0.000  0.000  0.500
Zn  0.000  0.500  0.000
Zn  0.000  0.500  0.500
Zn  0.500  0.000  0.000
Zn  0.500  0.000  0.500
Zn  0.500  0.500  0.000
Pd  0.283  0.283  0.717
Pd  0.283  0.717  0.283
Pd  0.283  0.717  0.717
Pd  0.717  0.283  0.283
Pd  0.717  0.283  0.717
Pd  0.717  0.717  0.283
Pt  0.039  0.654  0.654
Pt  0.120  0.120  0.120
Pt  0.120  0.120  0.639
Pt  0.120  0.639  0.120
Pt  0.346  0.346  0.346
Pt  0.346  0.346  0.961
Pt  0.346  0.961  0.346
Pt  0.361  0.880  0.880
Pt  0.639  0.120  0.120
Pt  0.654  0.039  0.654
Pt  0.654  0.654  0.039
Pt  0.654  0.654  0.654
Pt  0.880  0.361  0.880
Pt  0.880  0.880  0.361
Pt  0.880  0.880  0.880
Pt  0.961  0.346  0.346

## Properties
ΔH_f (0 K) = -0.153 eV/atom
M_tot = 0.0 μB per formula unit

(22)
# SrMo2Se

A relaxed SrMo2Se crystal (GGA-PBE, Alexandria).

a = 3.982 Å, b = 4.997 Å, c = 4.749 Å
α = 90.00°, β = 93.84°, γ = 90.00°
Positions (direct):
Sr  0.000  0.000  0.000
Mo  0.429  0.500  0.776
Mo  0.571  0.500  0.224
Se  0.500  0.000  0.500

## Properties
Formation energy (no corrections) = 0.425 eV per atom
M_tot = 0.0 μB per formula unit

(23)
# KPt3

A relaxed KPt3 crystal (GGA-PBE, Alexandria).

a = 7.959 Å, b = 7.081 Å, c = 6.104 Å
α = 90.00°, β = 90.00°, γ = 90.00°
Positions (direct):
K  0.022  0.250  0.118
K  0.478  0.750  0.618
K  0.522  0.250  0.382
K  0.978  0.750  0.882
Pt  0.143  0.750  0.341
Pt  0.148  0.065  0.574
Pt  0.148  0.435  0.574
Pt  0.352  0.565  0.074
Pt  0.352  0.935  0.074
Pt  0.357  0.250  0.841
Pt  0.643  0.750  0.159
Pt  0.648  0.065  0.926
Pt  0.648  0.435  0.926
Pt  0.852  0.565  0.426
Pt  0.852  0.935  0.426
Pt  0.857  0.250  0.659

## Properties
Energy relative to the lowest polymorph listed for this composition = 226 meV/atom
ΔH_f (0 K) = 0.076 eV/atom
M_tot = 0.0 μB per formula unit